Entry 1:
# Er2AgHPd6, optimized geometry, DFT GGA-PBE
data_Er2AgHPd6
_chemical_formula_sum 'Er2 Ag1 H1 Pd6'
_symmetry_space_group_name_H-M 'P -1'
_symmetry_Int_Tables_number 2
_cell_length_a 5.545
_cell_length_b 5.552
_cell_length_c 6.936
_cell_angle_alpha 69.16
_cell_angle_beta 69.20
_cell_angle_gamma 62.11
loop_
_symmetry_equiv_pos_as_xyz
'x,y,z'
'-x,-y,-z'
loop_
_atom_site_label
_atom_site_fract_x
_atom_site_fract_y
_atom_site_fract_z
Er1 0.237 0.238 0.198
Ag1 0.000 0.000 0.000
H1 0.500 0.500 0.500
Pd1 0.168 0.676 0.366
Pd2 0.299 0.299 0.744
Pd3 0.322 0.834 0.634
# ρ	10.46	Mg/m³
# size of the total moment	0.0	μB per formula unit
# VASP energy	-5.200	eV/atom



Entry 2:
# Er2HfAg, optimized geometry, DFT GGA-PBE
data_Er2HfAg
_chemical_formula_sum 'Er2 Hf1 Ag1'
_symmetry_space_group_name_H-M 'P 4/m m m'
_symmetry_Int_Tables_number 123
_symmetry_space_group_name_Hall '-P 4 2'
_cell_length_a 3.387
_cell_length_b 3.387
_cell_length_c 8.573
_cell_angle_alpha 90.00
_cell_angle_beta 90.00
_cell_angle_gamma 90.00
loop_
_atom_site_label
_atom_site_fract_x
_atom_site_fract_y
_atom_site_fract_z
Er1 0.000 0.000 0.237
Hf1 0.500 0.500 0.500
Ag1 0.500 0.500 0.000
# ρ	10.48	Mg/m³
# size of the total moment	0.0	μB per formula unit
# formation energy from the elements	-2.44	kcal/mol of atoms
# VASP energy	-5.588	eV/atom
# excess energy over the best structure of this formula in the dataset	0	meV/atom



Entry 3:
# Er5HfAg4, optimized geometry, DFT GGA-PBE
data_Er5HfAg4
_chemical_formula_sum 'Er5 Hf1 Ag4'
_symmetry_space_group_name_H-M 'P 4/m m m'
_symmetry_Int_Tables_number 123
_symmetry_space_group_name_Hall '-P 4 2'
_cell_length_a 3.521
_cell_length_b 3.521
_cell_length_c 19.282
_cell_angle_alpha 90.00
_cell_angle_beta 90.00
_cell_angle_gamma 90.00
loop_
_atom_site_label
_atom_site_fract_x
_atom_site_fract_y
_atom_site_fract_z
Er1 0.000 0.000 0.000
Er2 0.000 0.000 0.193
Er3 0.000 0.000 0.387
Hf1 0.500 0.500 0.500
Ag1 0.500 0.500 0.096
Ag2 0.500 0.500 0.289
# ρ	10.05	Mg/m³
# size of the total moment	0.0	μB per formula unit
# formation energy from the elements	-5.21	kcal/mol of atoms
# VASP energy	-4.643	eV/atom